# MgTiIn

A relaxed MgTiIn crystal (PBE, the Alexandria database).

The space group is Fmmm (No. 69) and the conventional cell measures 5.4061, 8.0340 and 11.8997 Å, with angles of 90.00, 90.00 and 90.00 degrees. Symmetry generates all atoms from Mg at (0.2500, 0.2500, 0.2500), Ti at (0.0000, 0.1705, 0.0000) and In at (0.0000, 0.0000, 0.3838).

As for the volume: 21.54 Å³ per atom. The raw total energy is -93.34 eV per cell. The calculation puts the formation energy at 0.187 eV/atom. For the magnetic moment, the calculation gives 9.379 Bohr magnetons per cell.